No. 1
First-principles (PBE-GGA) data for a relaxed structure of Li2Zn6Ir, as listed in the Alexandria database.

Values from the calculation:
- energy (eV/atom) = -2.377

Unit cell a=6.839 b=6.839 c=3.892 alpha=90.00 beta=90.00 gamma=125.96
Fractional positions:
Li  0.195  0.805  0.000
Li  0.805  0.195  0.000
Zn  0.149  0.445  0.500
Zn  0.274  0.274  0.000
Zn  0.445  0.149  0.500
Zn  0.555  0.851  0.500
Zn  0.726  0.726  0.000
Zn  0.851  0.555  0.500
Ir  0.000  0.000  0.500



No. 2
First-principles (PBE-GGA) data for a relaxed structure of Li2ZnIr, as listed in the Alexandria database.

Values from the calculation:
- energy (eV/atom) = -3.674

Unit cell a=2.751 b=4.480 c=4.526 alpha=90.00 beta=93.20 gamma=90.00
Fractional positions:
Li  0.228  0.000  0.230
Li  0.772  0.000  0.770
Zn  0.000  0.500  0.500
Ir  0.500  0.500  0.000



Number 1: formation energy from the elements -0.12 eV per atom. Number 2: formation energy from the elements -0.18 eV per atom.